First-principles (GGA-PBE) data for crystalline TiSe2BrO at its relaxed geometry, as listed in the Alexandria database.

Lattice parameters (Å, degrees): 4.131 4.131 5.592 90.00 90.00 90.00
Positions (direct):
Se: 0.000 0.500 0.000
Se: 0.500 0.000 0.000
Br: 0.000 0.000 0.500
Ti: 0.500 0.500 0.500
O: 0.000 0.000 0.000

## Properties
D(E_F), states/eV/atom: 1.202
Symmetry: P4/mmm, No. 123
Relative energy among the computed polymorphs, eV/atom: 0.112
Calculated total energy, eV per cell: -20.46
Uncorrected formation energy, eV/atom: 0.207

***

First-principles (GGA-PBE) data for crystalline Zr2ZnFePb at its relaxed geometry, as listed in the Alexandria database.

Lattice parameters (Å, degrees): 5.419 4.735 5.419 90.00 90.00 90.00
Positions (direct):
Zr: 0.000 0.000 0.500
Zn: 0.000 0.500 0.000
Pb: 0.000 0.000 0.000
Zr: 0.500 0.000 0.000
Fe: 0.500 0.500 0.500

## Properties
D(E_F), states/eV/atom: 1.040
Symmetry: P4/mmm, No. 123
Calculated formation energy, eV per atom: 1.6781
Calculated total energy, eV per cell: -22.15

***

First-principles (GGA-PBE) data for crystalline LaAl9Rh2 at its relaxed geometry, as listed in the Alexandria database.

Lattice parameters (Å, degrees): 3.937 8.090 8.090 120.00 90.00 90.00
Positions (direct):
Al: 0.000 0.500 0.000
Al: 0.500 0.793 0.207
Al: 0.500 0.414 0.207
Al: 0.500 0.207 0.793
Al: 0.500 0.793 0.586
La: 0.000 0.000 0.000
Al: 0.500 0.207 0.414
Rh: 0.000 0.333 0.667
Al: 0.000 0.000 0.500
Rh: 0.000 0.667 0.333
Al: 0.500 0.586 0.793
Al: 0.000 0.500 0.500

## Properties
D(E_F), states/eV/atom: 0.327
Symmetry: P6/mmm, No. 191
Calculated formation energy, eV per atom: -0.5309
Relative energy among the computed polymorphs, eV/atom: 0.056
Calculated total energy, eV per cell: -59.68

***

First-principles (GGA-PBE) data for crystalline Cu3As4 at its relaxed geometry, as listed in the Alexandria database.

Lattice parameters (Å, degrees): 5.005 5.005 5.310 90.00 90.00 120.00
Positions (direct):
As: 0.000 0.000 0.233
As: 0.667 0.333 0.500
As: 0.333 0.667 0.500
Cu: 0.000 0.500 0.000
As: 0.000 0.000 0.767
Cu: 0.500 0.500 0.000
Cu: 0.500 0.000 0.000

## Properties
D(E_F), states/eV/atom: 0.409
Symmetry: P6/mmm, No. 191
Calculated formation energy, eV per atom: 0.3354
Relative energy among the computed polymorphs, eV/atom: 0.160
Calculated total energy, eV per cell: -28.54

***

First-principles (GGA-PBE) data for crystalline K2BaCS at its relaxed geometry, as listed in the Alexandria database.

Lattice parameters (Å, degrees): 5.088 5.088 8.512 90.00 90.00 90.00
Positions (direct):
K: 0.500 0.000 0.000
K: 0.000 0.500 0.000
Ba: 0.500 0.500 0.500
S: 0.000 0.000 0.500
C: 0.000 0.000 0.000

## Properties
D(E_F), states/eV/atom: 0.255
Symmetry: P4/mmm, No. 123
Calculated total energy, eV per cell: -14.14
Uncorrected formation energy, eV/atom: 0.666

***

First-principles (GGA-PBE) data for crystalline SnPb at its relaxed geometry, as listed in the Alexandria database.

Lattice parameters (Å, degrees): 4.826 4.826 7.902 90.00 90.00 120.00
Positions (direct):
Pb: 0.667 0.333 0.229
Sn: 0.667 0.333 0.853
Pb: 0.333 0.667 0.729
Sn: 0.333 0.667 0.353

## Properties
D(E_F), states/eV/atom: 0.172
Symmetry: P6_3mc, No. 186
Calculated formation energy, eV per atom: 0.1904
Calculated total energy, eV per cell: -14.66